(1)
DFT (PBE) results for an optimized crystal structure of LiB4C4.

Cell: 5.3590 5.2996 7.5841 Å, 90.00 90.00 119.63°
With the nearest neighbours (Å) after each atom.
Fractional positions:
C  0.8558  0.6779  0.2500  3 B 1.55-1.56
B  0.6876  0.8438  0.2201  3 C 1.55-1.56
B  0.8124  0.1562  0.7500  3 C 1.55
C  0.6441  0.8221  0.7211  3 B 1.55
B  0.3124  0.6562  0.7201  3 C 1.55-1.56
B  0.6876  0.3438  0.2799  3 C 1.55-1.56
C  0.3559  0.1779  0.2789  3 B 1.55
Li  0.0000  0.0000  0.5000  6 C 2.36-2.41, 6 B 2.47-2.57
Li  0.0000  0.5000  0.0000  6 C 2.36-2.41, 6 B 2.47-2.57
C  0.6441  0.3221  0.7789  3 B 1.55
C  0.8558  0.1779  0.2500  3 B 1.55-1.56
C  0.3559  0.6779  0.2211  3 B 1.55
C  0.1442  0.3221  0.7500  3 B 1.55-1.56
B  0.1876  0.3438  0.2500  3 C 1.55
B  0.8124  0.6562  0.7500  3 C 1.55
C  0.1442  0.8221  0.7500  3 B 1.55-1.56
B  0.3124  0.1562  0.7799  3 C 1.55-1.56
B  0.1876  0.8438  0.2500  3 C 1.55

## Properties
symmetry	Cmce, No. 64
total magnetization	0.000	μB per cell
crystal system	orthorhombic
energy above the most stable polymorph in this dataset	1.25	eV/f.u.
energy relative to the elements	0.228	eV/atom

***

(2)
DFT (PBE) results for an optimized crystal structure of AcHfAlPt2.

Cell: 4.3124 4.3124 6.7291 Å, 108.69 108.69 90.00°
With the nearest neighbours (Å) after each atom.
Fractional positions:
Pt  0.3823  0.3823  0.7647  2 Al 2.68, 2 Hf 2.68, 1 Pt 2.82
Hf  0.2500  0.7500  0.5000  4 Pt 2.68
Ac  0.0000  0.0000  0.0000  8 Pt 3.36, 4 Hf 3.69, 4 Al 3.69
Pt  0.6177  0.6177  0.2353  2 Hf 2.68, 2 Al 2.68, 1 Pt 2.82
Al  0.7500  0.2500  0.5000  4 Pt 2.68

## Properties
symmetry	I-4m2, No. 119
total magnetization	0.000	μB per cell
crystal system	tetragonal
energy relative to the elements	-1.039	eV/atom

***

(3)
DFT (PBE) results for an optimized crystal structure of K2DyCrSe4.

Cell: 4.0496 6.9593 7.9860 Å, 107.27 90.00 90.00°
With the nearest neighbours (Å) after each atom.
Fractional positions:
Se  0.0000  0.7056  0.1860  2 Cr 2.66, 1 Dy 2.87
K  0.0000  0.5000  0.5000  6 Se 3.21-3.24
Se  0.0000  0.2944  0.8140  2 Cr 2.66, 1 Dy 2.87
Dy  0.0000  0.0000  0.0000  6 Se 2.85-2.87
Se  0.5000  0.7443  0.8004  1 Cr 2.65, 2 Dy 2.85
Cr  0.5000  0.5000  0.0000  6 Se 2.65-2.66
K  0.5000  0.0000  0.5000  6 Se 3.38-3.40
Se  0.5000  0.2557  0.1996  1 Cr 2.65, 2 Dy 2.85

## Properties
symmetry	P2/m, No. 10
total magnetization	2.999	μB per cell
crystal system	monoclinic
uncorrected formation energy	-120	kJ per mole of atoms